VASP calculation (PBE) on an optimized crystal structure of Te2IrWC.

Calculated values
Raw formation energy (kJ per mole of atoms): 125.1
Volume (Å³/f.u.): 107.8
Energy (eV/atom): -6.17

a b c (Å): 5.375 3.732 5.375
angles (deg): 90.00 90.00 90.00
Last column: magnetic moment on the atom in μB.
Fractional coordinates of all 5 atoms:
C  0.000  0.500  0.000  0.00
Te  0.000  0.000  0.500  -0.10
Te  0.500  0.000  0.000  -0.11
W  0.500  0.500  0.500  2.35
Ir  0.000  0.000  0.000  -0.05